Material: YMg30CoO32
Method: DFT, PBEsol
State: optimized geometry

Lattice parameters (Å, degrees): 8.4926 8.4998 8.4998 90.00 90.00 90.00
Site moments in Bohr magnetons follow the coordinates.
Fractional coordinates of all 64 atoms:
Y 0.0000 0.0000 0.0000  0.00
Mg 0.0000 0.5000 0.0000  0.01
Mg 0.0000 0.0000 0.5000  0.01
Mg 0.5000 0.0000 0.0000  0.00
Mg 0.5000 0.5000 0.0000  0.00
Mg 0.5000 0.0000 0.5000  0.00
Mg 0.5000 0.5000 0.5000  0.01
Mg 0.0000 0.2597 0.2597  0.00
Mg 0.0000 0.7403 0.2597  0.00
Mg 0.0000 0.2597 0.7403  0.00
Mg 0.0000 0.7403 0.7403  0.00
Mg 0.5000 0.2519 0.2519  0.00
Mg 0.5000 0.7481 0.2519  0.00
Mg 0.5000 0.2519 0.7481  0.00
Mg 0.5000 0.7481 0.7481  0.00
Mg 0.2553 0.2571 0.0000  0.00
Mg 0.2553 0.7429 0.0000  0.00
Mg 0.2478 0.2541 0.5000  0.00
Mg 0.2478 0.7459 0.5000  0.00
Mg 0.7447 0.2571 0.0000  0.00
Mg 0.7447 0.7429 0.0000  0.00
Mg 0.7522 0.2541 0.5000  0.00
Mg 0.7522 0.7459 0.5000  0.00
Mg 0.2553 0.0000 0.2571  0.00
Mg 0.2478 0.5000 0.2541  0.00
Mg 0.2553 0.0000 0.7429  0.00
Mg 0.2478 0.5000 0.7459  0.00
Mg 0.7447 0.0000 0.2571  0.00
Mg 0.7522 0.5000 0.2541  0.00
Mg 0.7447 0.0000 0.7429  0.00
Mg 0.7522 0.5000 0.7459  0.00
Co 0.0000 0.5000 0.5000  1.86
O 0.2588 0.0000 0.0000  0.00
O 0.2528 0.5000 0.0000  0.00
O 0.2528 0.0000 0.5000  0.00
O 0.2608 0.5000 0.5000  0.02
O 0.7412 0.0000 0.0000  0.00
O 0.7472 0.5000 0.0000  0.00
O 0.7472 0.0000 0.5000  0.00
O 0.7392 0.5000 0.5000  0.02
O 0.2495 0.2494 0.2494  0.00
O 0.2495 0.7506 0.2494  0.00
O 0.2495 0.2494 0.7506  0.00
O 0.2495 0.7506 0.7506  0.00
O 0.7505 0.2494 0.2494  0.00
O 0.7505 0.7506 0.2494  0.00
O 0.7505 0.2494 0.7506  0.00
O 0.7505 0.7506 0.7506  0.00
O 0.0000 0.2576 0.0000  0.00
O 0.0000 0.7424 0.0000  0.00
O 0.0000 0.2397 0.5000  0.02
O 0.0000 0.7603 0.5000  0.02
O 0.5000 0.2503 0.0000  0.00
O 0.5000 0.7497 0.0000  0.00
O 0.5000 0.2486 0.5000  0.00
O 0.5000 0.7514 0.5000  0.00
O 0.0000 0.0000 0.2576  0.00
O 0.0000 0.5000 0.2397  0.02
O 0.0000 0.0000 0.7424  0.00
O 0.0000 0.5000 0.7603  0.02
O 0.5000 0.0000 0.2503  0.00
O 0.5000 0.5000 0.2486  0.00
O 0.5000 0.0000 0.7497  0.00
O 0.5000 0.5000 0.7514  0.00

Output
Magnetic moment: 2.000 Bohr magnetons per cell



Material: MgCoOs
Method: DFT, PBEsol
State: optimized geometry

Lattice parameters (Å, degrees): 2.7116 2.7116 6.4819 90.00 90.00 120.00
Site moments in Bohr magnetons follow the coordinates.
Fractional coordinates of all 3 atoms:
Co 0.0000 0.0000 0.0137  1.05
Mg 0.6667 0.3333 0.6761  -0.01
Os 0.3333 0.6667 0.3101  0.04

Output
Magnetic moment: 1.074 Bohr magnetons per cell
Energy relative to the lowest polymorph listed for this composition: 0 meV per atom
ΔH_f (0 K): 271 meV/atom



Material: MgCo2Os
Method: DFT, PBEsol
State: optimized geometry

Lattice parameters (Å, degrees): 2.6451 2.6451 7.3033 90.00 90.00 90.00
Site moments in Bohr magnetons follow the coordinates.
Fractional coordinates of all 4 atoms:
Co 0.0000 0.0000 0.0115  0.78
Co 0.5000 0.5000 0.2199  1.32
Mg 0.0000 0.0000 0.4866  -0.02
Os 0.5000 0.5000 0.7821  -0.20

Output
Magnetic moment: 1.798 Bohr magnetons per cell
ΔH_f (0 K): 234 meV/atom



Material: MgCo2Os
Method: DFT, PBEsol
State: optimized geometry

Lattice parameters (Å, degrees): 3.5946 3.5946 4.5693 113.16 113.16 90.00
Site moments in Bohr magnetons follow the coordinates.
Fractional coordinates of all 4 atoms:
Co 0.0000 0.0000 0.0000  -0.15
Co 0.7500 0.2500 0.5000  0.63
Mg 0.5000 0.5000 0.0000  0.00
Os 0.2500 0.7500 0.5000  0.16

Output
Magnetic moment: 0.624 Bohr magnetons per cell
ΔH_f (0 K): 323 meV/atom



Material: MgCoOs
Method: DFT, PBEsol
State: optimized geometry

Lattice parameters (Å, degrees): 3.9828 3.9828 3.9828 60.00 60.00 60.00
Fractional coordinates of all 3 atoms:
Co 0.7500 0.7500 0.7500
Mg 0.0000 0.0000 0.0000
Os 0.5000 0.5000 0.5000

Output
Magnetic moment: 0.002 Bohr magnetons per cell
Energy relative to the lowest polymorph listed for this composition: 298 meV per atom
ΔH_f (0 K): 569 meV/atom



Material: MgCoOs2
Method: DFT, PBEsol
State: optimized geometry

Lattice parameters (Å, degrees): 3.6678 3.6678 4.0167 90.00 90.00 90.00
Fractional coordinates of all 4 atoms:
Co 0.5000 0.5000 0.5000
Mg 0.0000 0.0000 0.5000
Os 0.0000 0.5000 0.0000
Os 0.5000 0.0000 0.0000

Output
Magnetic moment: 0.008 Bohr magnetons per cell
ΔH_f (0 K): 438 meV/atom



| no. | energy (eV per atom) |
| --- | --- |
| 1 | -6.329 |
| 2 | -6.952 |
| 3 | -7.118 |
| 4 | -7.028 |
| 5 | -6.654 |
| 6 | -8.034 |